Entry 1:
LaTcSb2 (PBE, relaxed); SG = No. 44; volume = 25.45 A^3/atom; total magnetization = 0.01 Bohr magnetons per cell; polymorph energy (0 for the lowest one) = 195 meV/atom
1.0
-3.801 5.223 -4.403
-2.058 1.235 -7.440
0.536 -4.149 6.604
La Sb Tc
1 2 1
direct
0.305 0.805 0.500
0.974 0.974 0.000
0.681 0.181 0.500
0.539 0.539 0.000

Entry 2:
ZrPt5 (PBE, relaxed); SG = No. 216; volume = 17.08 A^3/atom; total magnetization = 0.00 Bohr magnetons per cell; energy of formation = -0.553 eV/atom
1.0
0.000 3.715 3.715
3.715 0.000 3.715
3.715 3.715 0.000
Zr Pt
1 5
direct
0.000 0.000 0.000
0.625 0.625 0.126
0.250 0.250 0.250
0.625 0.625 0.625
0.126 0.625 0.625
0.625 0.126 0.625

Entry 3:
La3AsOs (PBE, relaxed); SG = No. 221; volume = 33.18 A^3/atom; total magnetization = 0.00 Bohr magnetons per cell; energy of formation = -0.292 eV/atom; polymorph energy (0 for the lowest one) = 0 meV/atom
1.0
-2.353 -4.611 1.842
1.658 -2.651 -4.519
4.681 -1.379 2.527
As Os La
1 1 3
direct
0.500 0.500 0.500
0.000 0.000 0.000
0.000 0.500 0.000
0.000 0.000 0.500
0.500 0.000 0.000

Entry 4:
RbCo3Pt (PBE, relaxed); SG = No. 221; volume = 22.68 A^3/atom; total magnetization = 6.66 Bohr magnetons per cell; energy of formation = 1.031 eV/atom; polymorph energy (0 for the lowest one) = 0 meV/atom
1.0
-1.971 -4.221 1.313
4.415 -1.807 0.817
-0.222 1.530 4.586
Co Rb Pt
3 1 1
direct
0.000 0.500 0.000
0.000 0.000 0.500
0.500 0.000 0.000
0.500 0.500 0.500
0.000 0.000 0.000

Entry 5:
Ac2Ge3PtRh4 (PBE, relaxed); SG = No. 115; volume = 19.86 A^3/atom; total magnetization = 0.00 Bohr magnetons per cell; energy of formation = -0.781 eV/atom
1.0
4.338 0.000 0.000
0.000 4.338 0.000
0.000 0.000 10.553
Ac Ge Pt Rh
2 3 1 4
direct
0.500 0.000 0.256
0.000 0.500 0.744
0.000 0.000 0.500
0.500 0.000 0.878
0.000 0.500 0.122
0.500 0.500 0.500
0.500 0.500 0.000
0.000 0.000 0.000
0.500 0.000 0.644
0.000 0.500 0.356

Entry 6:
CsTcAu2 (PBE, relaxed); SG = No. 225; volume = 23.25 A^3/atom; total magnetization = 3.42 Bohr magnetons per cell; energy of formation = 1.170 eV/atom
1.0
4.940 0.218 1.188
2.202 4.494 0.902
1.427 1.230 4.724
Cs Au Tc
1 2 1
direct
0.500 0.500 0.500
0.250 0.250 0.250
0.750 0.750 0.750
0.000 0.000 0.000

Q: Which formula does entry 1 have?
A: LaTcSb2

Q: The highest total magnetization belongs to which entry?
A: RbCo3Pt

Q: The highest volume belongs to which entry?
A: La3AsOs

Q: Look up the volume of the sixth one.
A: 23.25 A^3/atom